# 1
The following is a PBE calculation of a geometry-optimized TbPm4Pr structure, from Alexandria.

Magnetic moment   0.000 Bohr magnetons per cell
ΔE_f   2.40 kcal/mol of atoms
D(E_F)   10.38 states/eV per cell
Theoretical density   7.08 g/cm3
Final energy   -0.170 hartree per atom

Lattice parameters (Å, degrees): 6.438 6.438 6.095 90.05 90.05 54.79
Positions (direct):
Tb 0.000 0.000 0.000
Pm 0.175 0.175 0.548
Pm 0.324 0.324 0.047
Pm 0.676 0.676 0.953
Pm 0.825 0.825 0.452
Pr 0.500 0.500 0.500

=====

# 2
The following is a PBE calculation of a geometry-optimized Pm4TeSe2S structure, from Alexandria.

Magnetic moment   0.000 Bohr magnetons per cell
D(E_F)   3.16 states/eV per cell
Theoretical density   6.93 g/cm3
Final energy   -0.217 hartree per atom
Formation energy (no corrections)   -1754.3 meV per atom

Lattice parameters (Å, degrees): 7.342 4.199 7.384 90.00 109.14 90.00
Positions (direct):
Pm 0.241 0.000 0.219
Pm 0.259 0.500 0.778
Pm 0.741 0.500 0.222
Pm 0.759 0.000 0.781
Te 0.500 0.500 0.500
Se 0.000 0.000 0.500
Se 0.000 0.500 0.000
S 0.500 0.000 0.000

=====

# 3
The following is a PBE calculation of a geometry-optimized Sc2TlHg2 structure, from Alexandria.

Magnetic moment   0.000 Bohr magnetons per cell
ΔE_f   -6.12 kcal/mol of atoms
D(E_F)   2.89 states/eV per cell
Theoretical density   10.14 g/cm3
Final energy   -0.125 hartree per atom

Lattice parameters (Å, degrees): 4.379 5.072 6.092 77.92 69.12 64.51
Positions (direct):
Sc 0.096 0.101 0.207
Sc 0.904 0.899 0.793
Tl 0.500 0.500 0.000
Hg 0.300 0.295 0.604
Hg 0.700 0.705 0.396

=====

# 4
The following is a PBE calculation of a geometry-optimized ScCrHg structure, from Alexandria.

Magnetic moment   3.719 Bohr magnetons per cell
ΔE_f   3.07 kcal/mol of atoms
D(E_F)   2.29 states/eV per cell
Theoretical density   8.09 g/cm3
Final energy   -0.194 hartree per atom

Lattice parameters (Å, degrees): 4.724 4.724 3.162 90.00 90.00 120.00
Positions (direct):
Sc 0.000 0.000 0.000
Cr 0.333 0.667 0.499
Hg 0.667 0.333 0.501

=====

# 5
The following is a PBE calculation of a geometry-optimized K4Re2Cl10O structure, from Alexandria.

Magnetic moment   2.012 Bohr magnetons per cell
D(E_F)   3.38 states/eV per cell
Theoretical density   3.18 g/cm3
Final energy   -0.164 hartree per atom
Formation energy (no corrections)   -1356.3 meV per atom

Lattice parameters (Å, degrees): 10.382 10.382 10.382 139.39 139.39 58.79
Positions (direct):
K 0.000 0.500 0.500
K 0.250 0.750 0.500
K 0.500 0.000 0.500
K 0.750 0.250 0.500
Re 0.102 0.102 0.000
Re 0.898 0.898 0.000
Cl 0.126 0.126 0.471
Cl 0.126 0.655 0.000
Cl 0.236 0.236 0.000
Cl 0.345 0.345 0.471
Cl 0.345 0.874 0.000
Cl 0.655 0.126 0.000
Cl 0.655 0.655 0.529
Cl 0.764 0.764 0.000
Cl 0.874 0.345 0.000
Cl 0.874 0.874 0.529
O 0.000 0.000 0.000

=====

# 6
The following is a PBE calculation of a geometry-optimized ZnCoSbIr2 structure, from Alexandria.

Magnetic moment   2.306 Bohr magnetons per cell
D(E_F)   4.95 states/eV per cell
Theoretical density   11.40 g/cm3
Final energy   -0.183 hartree per atom
Formation energy (no corrections)   1072.9 meV per atom

Lattice parameters (Å, degrees): 4.595 4.595 4.349 90.00 90.00 90.00
Positions (direct):
Zn 0.000 0.000 0.000
Co 0.000 0.000 0.500
Sb 0.500 0.500 0.500
Ir 0.000 0.500 0.000
Ir 0.500 0.000 0.000

=====

> Number 6 is which compound?

ZnCoSbIr2